DFT (PBE) results for crystalline PrZnSiPt6 at its relaxed geometry.

a = 8.004 Å, b = 8.004 Å, c = 8.004 Å
α = 129.96°, β = 110.54°, γ = 90.39°
Fractional positions:
Pr  0.418  0.168  0.250
Pr  0.582  0.832  0.750
Zn  0.000  0.000  0.500
Zn  0.000  0.500  0.000
Si  0.000  0.500  0.500
Si  0.500  0.500  0.000
Pt  0.114  0.358  0.219
Pt  0.114  0.895  0.756
Pt  0.161  0.911  0.250
Pt  0.326  0.576  0.750
Pt  0.362  0.105  0.719
Pt  0.362  0.642  0.256
Pt  0.638  0.358  0.744
Pt  0.638  0.895  0.281
Pt  0.674  0.424  0.250
Pt  0.839  0.089  0.750
Pt  0.886  0.105  0.244
Pt  0.886  0.642  0.781

## Properties
D(E_F) ... 6.9 states/eV per cell
Formation energy (no corrections) ... -0.452 eV/atom
Magnetization ... 0.00 μB per formula unit

---

DFT (PBE) results for crystalline TbNdErZr at its relaxed geometry.

a = 5.523 Å, b = 5.523 Å, c = 5.523 Å
α = 60.00°, β = 60.00°, γ = 60.00°
Fractional positions:
Tb  0.000  0.000  0.000
Nd  0.750  0.750  0.750
Er  0.500  0.500  0.500
Zr  0.250  0.250  0.250

## Properties
D(E_F) ... 7.8 states/eV per cell
Formation energy ... 0.228 eV/atom
Magnetization ... 1.55 μB per formula unit

---

DFT (PBE) results for crystalline NaLaPS2 at its relaxed geometry.

a = 5.559 Å, b = 5.559 Å, c = 5.841 Å
α = 90.00°, β = 90.00°, γ = 90.00°
Fractional positions:
Na  0.000  0.000  0.000
La  0.500  0.500  0.500
P  0.500  0.500  0.000
S  0.000  0.500  0.500
S  0.500  0.000  0.500

## Properties
D(E_F) ... 4.7 states/eV per cell
Formation energy (no corrections) ... -0.382 eV/atom
Magnetization ... 2.56 μB per formula unit
Excess energy over the best structure of this formula in the dataset ... 0.0 meV per atom

---

What did the first record say?
DFT (PBE) results for crystalline PrZnSiPt6 at its relaxed geometry.

a = 8.004 Å, b = 8.004 Å, c = 8.004 Å
α = 129.96°, β = 110.54°, γ = 90.39°
Fractional positions:
Pr  0.418  0.168  0.250
Pr  0.582  0.832  0.750
Zn  0.000  0.000  0.500
Zn  0.000  0.500  0.000
Si  0.000  0.500  0.500
Si  0.500  0.500  0.000
Pt  0.114  0.358  0.219
Pt  0.114  0.895  0.756
Pt  0.161  0.911  0.250
Pt  0.326  0.576  0.750
Pt  0.362  0.105  0.719
Pt  0.362  0.642  0.256
Pt  0.638  0.358  0.744
Pt  0.638  0.895  0.281
Pt  0.674  0.424  0.250
Pt  0.839  0.089  0.750
Pt  0.886  0.105  0.244
Pt  0.886  0.642  0.781

## Properties
D(E_F) ... 6.9 states/eV per cell
Formation energy (no corrections) ... -0.452 eV/atom
Magnetization ... 0.00 μB per formula unit

---

Among the records above, which one has the lowest D(E_F)? NaLaPS2